<i>
First-principles (PBE) data for a relaxed structure of RbLiS2Cl, as listed in the Alexandria database.

## Properties
**Crystal system**: tetragonal
**Magnetic moment**: 0.17 μB per atom

a b c (Å): 4.5326 4.5326 6.1981
angles (deg): 90.00 90.00 90.00
Last column: nearest neighbours and their distance in Å.
Element x y z (fractional)
Rb 0.0000 0.0000 0.0000  4 Cl 3.21
Li 0.5000 0.5000 0.5000  4 S 2.27
S 0.0000 0.5000 0.5000  2 Li 2.27
S 0.5000 0.0000 0.5000  2 Li 2.27
Cl 0.5000 0.5000 0.0000  2 Li 3.10, 4 Rb 3.21

=====

<ii>
First-principles (PBE) data for a relaxed structure of RbLiS2Cl, as listed in the Alexandria database.

## Properties
**Crystal system**: tetragonal
**Magnetic moment**: 0.60 μB per atom

a b c (Å): 6.1153 6.1153 6.0986
angles (deg): 90.00 90.00 90.00
Last column: nearest neighbours and their distance in Å.
Element x y z (fractional)
Rb 0.0000 0.0000 0.0000  2 Cl 3.05, 4 S 3.06
Li 0.5000 0.5000 0.5000  8 S 4.32, 4 Cl 4.32
S 0.0000 0.5000 0.0000  2 Rb 3.06
S 0.5000 0.0000 0.0000  2 Rb 3.06
Cl 0.0000 0.0000 0.5000  2 Rb 3.05

=====

Energies relative to the most stable structure, in meV per atom: <i> 0; <ii> 728.

=====

<i>
First-principles (PBE) data for a relaxed structure of Rb2LiSeCl6, as listed in the Alexandria database.

## Properties
**Crystal system**: tetragonal
**Magnetic moment**: 0.10 μB per atom

a b c (Å): 7.0597 7.0597 7.0597
angles (deg): 114.51 114.51 99.81
Last column: nearest neighbours and their distance in Å.
Element x y z (fractional)
Rb 0.2500 0.7500 0.5000  12 Cl 3.53-3.82
Rb 0.7500 0.2500 0.5000  12 Cl 3.53-3.82
Li 0.0000 0.0000 0.0000  2 Cl 2.23
Se 0.5000 0.5000 0.0000  2 Cl 2.31
Cl 0.2457 0.2457 0.0000  1 Li 2.23, 1 Se 2.31
Cl 0.2506 0.2506 0.5013  1 Se 2.69, 1 Li 2.71
Cl 0.2506 0.7494 0.0000  1 Se 2.69, 1 Li 2.71
Cl 0.7494 0.2506 0.0000  1 Se 2.69, 1 Li 2.71
Cl 0.7494 0.7494 0.4987  1 Se 2.69, 1 Li 2.71
Cl 0.7543 0.7543 0.0000  1 Li 2.23, 1 Se 2.31

=====

<ii>
First-principles (PBE) data for a relaxed structure of Rb2LiSeCl6, as listed in the Alexandria database.

## Properties
**Crystal system**: trigonal
**Magnetic moment**: 0.10 μB per atom

a b c (Å): 13.5377 13.5377 13.5377
angles (deg): 31.21 31.21 31.21
Last column: nearest neighbours and their distance in Å.
Element x y z (fractional)
Rb 0.1153 0.1153 0.1153  9 Cl 3.40-3.69
Rb 0.3060 0.3060 0.3060  9 Cl 3.53-3.71
Rb 0.6940 0.6940 0.6940  9 Cl 3.53-3.71
Rb 0.8847 0.8847 0.8847  9 Cl 3.40-3.69
Li 0.4111 0.4111 0.4111  3 Cl 2.43
Li 0.5889 0.5889 0.5889  3 Cl 2.43
Se 0.0000 0.0000 0.0000  6 Cl 2.75
Se 0.5000 0.5000 0.5000  6 Cl 2.43
Cl 0.1515 0.6187 0.6187  1 Se 2.43
Cl 0.2128 0.2128 0.7128  1 Li 2.43
Cl 0.2128 0.7128 0.2128  1 Li 2.43
Cl 0.2872 0.7872 0.7872  1 Li 2.43
Cl 0.3813 0.3813 0.8485  1 Se 2.43
Cl 0.3813 0.8485 0.3813  1 Se 2.43
Cl 0.6187 0.1515 0.6187  1 Se 2.43
Cl 0.6187 0.6187 0.1515  1 Se 2.43
Cl 0.7128 0.2128 0.2128  1 Li 2.43
Cl 0.7872 0.2872 0.7872  1 Li 2.43
Cl 0.7872 0.7872 0.2872  1 Li 2.43
Cl 0.8485 0.3813 0.3813  1 Se 2.43

=====

Energies relative to the most stable structure, in meV per atom: <i> 43; <ii> 0.

=====

<i>
First-principles (PBE) data for a relaxed structure of Rb2LiTcCl6, as listed in the Alexandria database.

## Properties
**Crystal system**: tetragonal
**Magnetic moment**: 0.20 μB per atom

a b c (Å): 6.9645 6.9645 6.9645
angles (deg): 115.23 115.23 98.48
Last column: nearest neighbours and their distance in Å.
Element x y z (fractional)
Rb 0.2500 0.7500 0.5000  12 Cl 3.49-3.73
Rb 0.7500 0.2500 0.5000  12 Cl 3.49-3.73
Li 0.0000 0.0000 0.0000  2 Cl 2.20
Tc 0.5000 0.5000 0.0000  6 Cl 2.35-2.43
Cl 0.2417 0.2417 0.0000  1 Li 2.20, 1 Tc 2.35
Cl 0.2699 0.2699 0.5397  1 Tc 2.43
Cl 0.2699 0.7301 0.0000  1 Tc 2.43
Cl 0.7301 0.2699 0.0000  1 Tc 2.43
Cl 0.7301 0.7301 0.4603  1 Tc 2.43
Cl 0.7583 0.7583 0.0000  1 Li 2.20, 1 Tc 2.35

=====

<ii>
First-principles (PBE) data for a relaxed structure of Rb2LiTcCl6, as listed in the Alexandria database.

## Properties
**Crystal system**: trigonal
**Magnetic moment**: 0.20 μB per atom

a b c (Å): 12.5656 12.5656 12.5656
angles (deg): 33.15 33.15 33.15
Last column: nearest neighbours and their distance in Å.
Element x y z (fractional)
Rb 0.1253 0.1253 0.1253  12 Cl 3.59-3.64
Rb 0.2938 0.2938 0.2938  12 Cl 3.54-3.79
Rb 0.7062 0.7062 0.7062  12 Cl 3.54-3.79
Rb 0.8747 0.8747 0.8747  12 Cl 3.59-3.64
Li 0.4162 0.4162 0.4162  6 Cl 2.51-2.66
Li 0.5838 0.5838 0.5838  6 Cl 2.51-2.66
Tc 0.0000 0.0000 0.0000  6 Cl 2.42
Tc 0.5000 0.5000 0.5000  6 Cl 2.42
Cl 0.1443 0.6181 0.6181  1 Tc 2.42, 1 Li 2.51
Cl 0.1984 0.1984 0.7211  1 Tc 2.42, 1 Li 2.66
Cl 0.1984 0.7211 0.1984  1 Tc 2.42, 1 Li 2.66
Cl 0.2789 0.8016 0.8016  1 Tc 2.42, 1 Li 2.66
Cl 0.3819 0.3819 0.8557  1 Tc 2.42, 1 Li 2.51
Cl 0.3819 0.8557 0.3819  1 Tc 2.42, 1 Li 2.51
Cl 0.6181 0.1443 0.6181  1 Tc 2.42, 1 Li 2.51
Cl 0.6181 0.6181 0.1443  1 Tc 2.42, 1 Li 2.51
Cl 0.7211 0.1984 0.1984  1 Tc 2.42, 1 Li 2.66
Cl 0.8016 0.2789 0.8016  1 Tc 2.42, 1 Li 2.66
Cl 0.8016 0.8016 0.2789  1 Tc 2.42, 1 Li 2.66
Cl 0.8557 0.3819 0.3819  1 Tc 2.42, 1 Li 2.51

=====

Energies relative to the most stable structure, in meV per atom: <i> 47; <ii> 0.

=====

<i>
First-principles (PBE) data for a relaxed structure of LiRe2Cl, as listed in the Alexandria database.

## Properties
**Crystal system**: cubic
**Magnetic moment**: 0.00 μB per atom

a b c (Å): 4.2189 4.2189 4.2189
angles (deg): 60.00 60.00 60.00
Last column: nearest neighbours and their distance in Å.
Element x y z (fractional)
Li 0.0000 0.0000 0.0000  8 Re 2.58
Re 0.2500 0.2500 0.2500  4 Cl 2.58, 4 Li 2.58
Re 0.7500 0.7500 0.7500  4 Cl 2.58, 4 Li 2.58
Cl 0.5000 0.5000 0.5000  8 Re 2.58

=====

<ii>
First-principles (PBE) data for a relaxed structure of LiRe2Cl, as listed in the Alexandria database.

## Properties
**Crystal system**: tetragonal
**Magnetic moment**: 0.00 μB per atom

a b c (Å): 6.0217 6.0217 6.0217
angles (deg): 97.14 97.14 138.70
Last column: nearest neighbours and their distance in Å.
Element x y z (fractional)
Li 0.0000 0.0000 0.0000  2 Cl 2.12
Li 0.7500 0.2500 0.5000  2 Cl 2.12
Re 0.2018 0.6250 0.0768  2 Re 2.45, 2 Cl 2.48
Re 0.3750 0.4518 0.5768  2 Re 2.45, 2 Cl 2.48
Re 0.5482 0.1250 0.9232  2 Re 2.45, 2 Cl 2.48
Re 0.8750 0.7982 0.4232  2 Re 2.45, 2 Cl 2.48
Cl 0.2500 0.7500 0.5000  2 Li 2.12
Cl 0.5000 0.5000 0.0000  2 Li 2.12

=====

Energies relative to the most stable structure, in meV per atom: <i> 391; <ii> 0.

=====

<i>
First-principles (PBE) data for a relaxed structure of Li2ReCl, as listed in the Alexandria database.

## Properties
**Crystal system**: monoclinic
**Magnetic moment**: 0.00 μB per atom

a b c (Å): 2.7350 4.5097 5.0874
angles (deg): 90.00 91.60 90.00
Last column: nearest neighbours and their distance in Å.
Element x y z (fractional)
Li 0.0000 0.0000 0.0000  2 Cl 2.38-2.40
Li 0.0375 0.5000 0.7181  4 Li 2.68-2.73, 4 Re 2.84-2.95
Re 0.5196 0.5000 0.2190  2 Cl 2.41
Cl 0.5270 0.0000 0.3859  2 Li 2.38-2.40, 2 Re 2.41

=====

<ii>
First-principles (PBE) data for a relaxed structure of Li2ReCl, as listed in the Alexandria database.

## Properties
**Crystal system**: monoclinic
**Magnetic moment**: 0.00 μB per atom

a b c (Å): 4.6614 4.6614 4.9595
angles (deg): 110.29 110.29 35.15
Last column: nearest neighbours and their distance in Å.
Element x y z (fractional)
Li 0.0000 0.0000 0.0000  2 Cl 2.45, 3 Li 2.53-2.68
Li 0.2249 0.2249 0.8025  2 Cl 2.44, 3 Li 2.53-2.68
Re 0.7916 0.7916 0.3427  3 Cl 2.42-2.52
Cl 0.5395 0.5395 0.4251  3 Re 2.42-2.52, 4 Li 2.44-2.45

=====

<iii>
First-principles (PBE) data for a relaxed structure of Li2ReCl, as listed in the Alexandria database.

## Properties
**Crystal system**: orthorhombic
**Magnetic moment**: 0.00 μB per atom

a b c (Å): 8.7125 8.7125 8.7125
angles (deg): 161.64 161.31 26.32
Last column: nearest neighbours and their distance in Å.
Element x y z (fractional)
Li 0.0000 0.0000 0.0000  4 Cl 2.31
Li 0.6726 0.1726 0.5000  4 Li 2.78-2.83, 4 Re 2.79
Re 0.2886 0.7886 0.5000  2 Cl 2.78, 4 Re 2.78-2.83, 4 Li 2.79
Cl 0.4302 0.4302 0.0000  4 Li 2.31

=====

<iv>
First-principles (PBE) data for a relaxed structure of Li2ReCl, as listed in the Alexandria database.

## Properties
**Crystal system**: orthorhombic
**Magnetic moment**: 0.00 μB per atom

a b c (Å): 2.8092 4.3916 4.7557
angles (deg): 90.00 90.00 90.00
Last column: nearest neighbours and their distance in Å.
Element x y z (fractional)
Li 0.0000 0.0000 0.0000  4 Cl 2.61, 6 Li 2.76-2.81
Li 0.5000 0.0000 0.5000  4 Re 2.61, 6 Li 2.76-2.81
Re 0.0000 0.5000 0.5000  4 Li 2.61, 4 Cl 2.76, 2 Re 2.81
Cl 0.5000 0.5000 0.0000  4 Li 2.61, 4 Re 2.76, 2 Cl 2.81

=====

Energies relative to the most stable structure, in meV per atom: <i> 21; <ii> 91; <iii> 0; <iv> 311.

=====

<i>
First-principles (PBE) data for a relaxed structure of Li2ReCl, as listed in the Alexandria database.

## Properties
**Crystal system**: orthorhombic
**Magnetic moment**: 0.00 μB per atom

a b c (Å): 5.2229 5.2229 5.2229
angles (deg): 149.18 127.73 61.92
Last column: nearest neighbours and their distance in Å.
Element x y z (fractional)
Li 0.2167 0.2167 0.0000  2 Cl 2.39
Li 0.7833 0.7833 0.0000  2 Cl 2.39
Re 0.5000 0.0000 0.5000  4 Cl 2.69, 2 Re 2.78, 4 Li 2.89
Cl 0.0000 0.5000 0.5000  4 Li 2.39

=====

<ii>
First-principles (PBE) data for a relaxed structure of Li2ReCl, as listed in the Alexandria database.

## Properties
**Crystal system**: tetragonal
**Magnetic moment**: 0.00 μB per atom

a b c (Å): 2.7604 2.7604 8.4309
angles (deg): 90.00 90.00 90.00
Last column: nearest neighbours and their distance in Å.
Element x y z (fractional)
Li 0.0000 0.0000 0.0000  4 Cl 2.33
Li 0.5000 0.5000 0.4244  1 Cl 2.30
Re 0.0000 0.0000 0.6712  4 Re 2.76, 5 Li 2.77-2.85
Cl 0.5000 0.5000 0.1518  5 Li 2.30-2.33

=====

<iii>
First-principles (PBE) data for a relaxed structure of Li2ReCl, as listed in the Alexandria database.

## Properties
**Crystal system**: tetragonal
**Magnetic moment**: 0.67 μB per atom

a b c (Å): 5.5793 5.5793 5.5793
angles (deg): 142.73 142.73 53.73
Last column: nearest neighbours and their distance in Å.
Element x y z (fractional)
Li 0.0000 0.0000 0.0000  4 Cl 2.52
Li 0.7500 0.2500 0.5000  4 Re 2.52
Re 0.2500 0.7500 0.5000  4 Li 2.52
Cl 0.5000 0.5000 0.0000  4 Li 2.52

=====

Energies relative to the most stable structure, in meV per atom: <i> 461; <ii> 0; <iii> 676.